# 1
Material: La3Pm4Sc
Method: DFT, GGA-PBE
State: relaxed

abc: 11.7424 7.3621 6.3532
angles: 90.00 90.00 90.00
Atoms (fractional coordinates):
La  0.0000  0.1270  0.0000
La  0.2493  0.1179  0.3295
La  0.2507  0.8821  0.8295
La  0.5000  0.8730  0.5000
La  0.7493  0.8821  0.8295
La  0.7507  0.1179  0.3295
Pm  0.0000  0.3732  0.5038
Pm  0.0000  0.6295  0.9965
Pm  0.2434  0.6265  0.3401
Pm  0.2566  0.3735  0.8401
Pm  0.5000  0.3705  0.4965
Pm  0.5000  0.6268  0.0038
Pm  0.7434  0.3735  0.8401
Pm  0.7566  0.6265  0.3401
Sc  0.0000  0.8714  0.4968
Sc  0.5000  0.1286  0.9968

The calculation puts the total energy at -4.963 eV per atom. Its crystal system is orthorhombic. The value obtained for the density of states at the Fermi level is 1.7842 states/eV/atom.

=====

# 2
Material: LaPm2Sc
Method: DFT, GGA-PBE
State: relaxed

abc: 12.5415 12.5415 12.5415
angles: 15.97 15.97 15.97
Atoms (fractional coordinates):
La  0.0000  0.0000  0.0000
Pm  0.0928  0.0928  0.0928
Pm  0.9072  0.9072  0.9072
Sc  0.5000  0.5000  0.5000

The calculation puts the total energy at -5.037 eV per atom. Its crystal system is trigonal. The value obtained for the density of states at the Fermi level is 1.8927 states/eV/atom.

=====

# 3
Material: La3Pm6Sc2
Method: DFT, GGA-PBE
State: relaxed

abc: 6.7358 6.7358 10.4204
angles: 90.02 90.02 128.74
Atoms (fractional coordinates):
La  0.0000  0.0000  0.0000
La  0.2920  0.7080  0.0000
La  0.7080  0.2920  0.0000
Pm  0.1491  0.8499  0.3194
Pm  0.1501  0.8509  0.6806
Pm  0.4995  0.4995  0.2137
Pm  0.5005  0.5005  0.7863
Pm  0.8499  0.1491  0.3194
Pm  0.8509  0.1501  0.6806
Sc  0.3727  0.6273  0.5000
Sc  0.6273  0.3727  0.5000

The calculation puts the total energy at -4.953 eV per atom. Its crystal system is monoclinic. The value obtained for the density of states at the Fermi level is 1.6461 states/eV/atom.

=====

# 4
Material: LaPm2Sc
Method: DFT, GGA-PBE
State: relaxed

abc: 11.8476 11.8476 11.8476
angles: 17.37 17.37 17.37
Atoms (fractional coordinates):
La  0.0000  0.0000  0.0000
Pm  0.5782  0.5782  0.5782
Pm  0.7560  0.7560  0.7560
Sc  0.1668  0.1668  0.1668

The calculation puts the total energy at -5.130 eV per atom. Its crystal system is trigonal. The value obtained for the density of states at the Fermi level is 1.4910 states/eV/atom.

=====

no.,formation energy from the elements (eV/atom)
1,0.051
2,0.153
3,0.133
4,0.060